(1)
First-principles (PBE) data for an optimized crystal structure of TaNbSb, as listed in Alexandria via LeMat-Bulk.

Structure (POSCAR):
```
TaNbSb
1.0
3.572 0.000 0.000
0.000 3.572 0.000
0.000 0.000 9.087
Ta Nb Sb
2 2 2
Cartesian
0.000 0.000 0.000
1.786 1.786 4.543
0.000 0.000 3.149
1.786 1.786 7.692
0.000 0.000 6.121
1.786 1.786 1.577
```

Raw formation energy ... -0.040 eV/atom
Magnetization ... 0.00 μB/atom


(2)
First-principles (PBE) data for an optimized crystal structure of Ta3NbSb, as listed in Alexandria via LeMat-Bulk.

Structure (POSCAR):
```
Ta3NbSb
1.0
4.908 0.000 0.000
0.000 4.908 0.000
0.000 0.000 4.908
Ta Nb Sb
3 1 1
Cartesian
0.000 0.000 2.454
0.000 2.454 0.000
2.454 0.000 0.000
0.000 0.000 0.000
2.454 2.454 2.454
```

Energy relative to the lowest polymorph listed for this composition ... 0.00 kJ/mol of atoms
Raw formation energy ... 1.465 eV/atom
Magnetization ... 0.00 μB/atom


(3)
First-principles (PBE) data for an optimized crystal structure of TaNb6Sb, as listed in Alexandria via LeMat-Bulk.

Structure (POSCAR):
```
TaNb6Sb
1.0
4.729 0.000 0.000
0.000 6.648 0.000
0.000 0.000 9.425
Ta Nb Sb
2 12 2
Cartesian
0.000 0.000 0.000
0.000 3.324 4.712
0.000 0.000 4.850
0.000 1.526 2.426
0.000 1.798 7.138
0.000 3.324 0.138
0.000 4.850 7.138
0.000 5.122 2.426
2.365 0.000 2.411
2.365 1.661 0.055
2.365 1.663 4.768
2.365 3.324 7.123
2.365 4.987 0.055
2.365 4.985 4.768
2.365 0.000 7.121
2.365 3.324 2.408
```

Raw formation energy ... -0.100 eV/atom
Magnetization ... 0.00 μB/atom


(4)
First-principles (PBE) data for an optimized crystal structure of TaTiNb2Sb, as listed in Alexandria via LeMat-Bulk.

Structure (POSCAR):
```
TaTiNb2Sb
1.0
4.878 0.000 0.000
0.000 4.878 0.000
0.000 0.000 5.187
Ta Ti Nb Sb
1 1 2 1
Cartesian
0.000 0.000 0.000
2.439 2.439 2.594
0.000 2.439 0.000
2.439 0.000 0.000
0.000 0.000 2.594
```

Raw formation energy ... 1.357 eV/atom
Magnetization ... 0.00 μB/atom


no.,calculated total energy (eV/atom)
1,-8.72
2,-8.49
3,-9.65
4,-7.45